Entry 1:
Computed, not measured: a relaxed structure of NaTaP2S at the GGA-PBE level of DFT.

**Energy above the lowest structure with this stoichiometry**: 0 meV per atom

a = 4.874 Å, b = 4.874 Å, c = 4.823 Å
α = 90.00°, β = 90.00°, γ = 90.00°
Space group P4/mmm (No. 123)
Unique sites:
1 Na 0.000 0.000 0.000
2 Ta 0.500 0.500 0.500
3 P 0.000 0.500 0.500
4 S 0.500 0.500 0.000



Entry 2:
Computed, not measured: a relaxed structure of NaTaPS2 at the GGA-PBE level of DFT.

**Energy above the lowest structure with this stoichiometry**: 0 meV per atom

a = 4.823 Å, b = 4.823 Å, c = 4.888 Å
α = 90.00°, β = 90.00°, γ = 90.00°
Space group P4/mmm (No. 123)
Unique sites:
1 Na 0.000 0.000 0.000
2 Ta 0.500 0.500 0.500
3 P 0.500 0.500 0.000
4 S 0.000 0.500 0.500



Entry 3:
Computed, not measured: a relaxed structure of NaTaP2S at the GGA-PBE level of DFT.

**Energy above the lowest structure with this stoichiometry**: 1799 meV per atom

a = 4.615 Å, b = 4.615 Å, c = 4.611 Å
α = 90.00°, β = 90.00°, γ = 90.00°
Space group P4/mmm (No. 123)
Unique sites:
1 Na 0.000 0.000 0.000
2 Ta 0.500 0.500 0.500
3 P 0.000 0.500 0.000
4 S 0.000 0.000 0.500